{
  "formula": "LiPa2CrN5",
  "functional": "GGA-PBE",
  "state": "relaxed",
  "e_form_raw_mev_per_atom": -1042,
  "dft_energy_ev_per_atom": -9.06,
  "cell": [[1.663, -6.730, 0.000], [1.663, 6.730, 0.000], [0.000, 0.000, 9.106]],
  "species": ["Li", "Li", "Pa", "Pa", "Pa", "Pa", "Cr", "Cr", "N", "N", "N", "N", "N", "N", "N", "N", "N", "N"],
  "frac_coords": [[0.011, 0.989, 0.500], [0.989, 0.011, 0.000], [0.371, 0.629, 0.296], [0.371, 0.629, 0.703], [0.629, 0.371, 0.203], [0.629, 0.371, 0.796], [0.301, 0.699, 0.999], [0.699, 0.301, 0.499], [0.000, 0.000, 0.249], [0.000, 0.000, 0.749], [0.141, 0.859, 0.999], [0.206, 0.794, 0.352], [0.206, 0.794, 0.646], [0.425, 0.575, 0.999], [0.575, 0.425, 0.499], [0.794, 0.206, 0.146], [0.794, 0.206, 0.852], [0.859, 0.141, 0.499]]
}


{
  "formula": "LiPrAlSi2",
  "functional": "GGA-PBE",
  "state": "relaxed",
  "e_form_raw_mev_per_atom": -494,
  "dft_energy_ev_per_atom": -4.75,
  "cell": [[-2.080, 2.080, 5.446], [2.080, -2.080, 5.446], [2.080, 2.080, -5.446]],
  "species": ["Li", "Pr", "Al", "Si", "Si"],
  "frac_coords": [[0.000, 0.000, 0.000], [0.750, 0.250, 0.500], [0.500, 0.500, 0.000], [0.140, 0.640, 0.500], [0.360, 0.860, 0.500]]
}


{
  "formula": "Ti6PdPb",
  "functional": "GGA-PBE",
  "state": "relaxed",
  "dft_energy_ev_per_atom": -7.13,
  "delta_e_f_ev_per_atom": -0.10,
  "cell": [[4.829, 0.000, 0.000], [0.000, 2.899, 5.006], [0.000, -2.899, 5.006]],
  "species": ["Ti", "Ti", "Ti", "Ti", "Ti", "Ti", "Pd", "Pb"],
  "frac_coords": [[0.000, 0.000, 0.000], [0.000, 0.500, 0.998], [0.000, 0.998, 0.500], [0.500, 0.330, 0.330], [0.500, 0.330, 0.832], [0.500, 0.832, 0.330], [0.500, 0.831, 0.831], [0.000, 0.498, 0.498]]
}


{
  "formula": "PmErBeIr",
  "functional": "GGA-PBE",
  "state": "relaxed",
  "dft_energy_ev_per_atom": -5.81,
  "delta_e_f_ev_per_atom": -0.34,
  "cell": [[0.000, 3.463, 3.463], [3.463, 0.000, 3.463], [3.463, 3.463, 0.000]],
  "species": ["Pm", "Er", "Be", "Ir"],
  "frac_coords": [[0.000, 0.000, 0.000], [0.500, 0.500, 0.500], [0.250, 0.250, 0.250], [0.750, 0.750, 0.750]]
}


{
  "formula": "PaHg3I6",
  "functional": "GGA-PBE",
  "state": "relaxed",
  "e_form_raw_mev_per_atom": -572,
  "polymorph_energy_ev_per_atom": 0.000,
  "dft_energy_ev_per_atom": -2.54,
  "cell": [[8.546, 0.000, 0.000], [0.000, 10.118, 0.000], [-6.109, 0.000, 11.457]],
  "species": ["Pa", "Pa", "Hg", "Hg", "Hg", "Hg", "Hg", "Hg", "I", "I", "I", "I", "I", "I", "I", "I", "I", "I", "I", "I"],
  "frac_coords": [[0.000, 0.000, 0.000], [0.000, 0.500, 0.500], [0.429, 0.241, 0.903], [0.429, 0.259, 0.403], [0.500, 0.000, 0.500], [0.500, 0.500, 0.000], [0.571, 0.741, 0.597], [0.571, 0.759, 0.097], [0.153, 0.236, 0.582], [0.153, 0.264, 0.082], [0.204, 0.527, 0.368], [0.204, 0.973, 0.868], [0.302, 0.623, 0.704], [0.302, 0.877, 0.204], [0.698, 0.123, 0.796], [0.698, 0.377, 0.296], [0.796, 0.027, 0.132], [0.796, 0.473, 0.632], [0.847, 0.736, 0.918], [0.847, 0.764, 0.418]]
}